First-principles (GGA-PBE) data for a relaxed structure of BaHfTe2O8, as listed in the Alexandria database.

Computed properties:
- density of states at the Fermi level (states/eV per cell) = 3.142
- E_form (uncorrected) (eV/atom) = -1.7961

Lattice parameters (Å, degrees): 6.0148 6.0148 7.4885 90.00 90.00 120.00
Space group P-3 (No. 147)
Unique sites:
Ba 0.0000 0.0000 0.0000 [1 per cell]
Hf 0.0000 0.0000 0.5000 [1 per cell]
Te 0.3333 0.6667 0.7130 [2 per cell]
O 0.0873 0.2986 0.6769 [6 per cell]
O 0.3333 0.6667 0.9574 [2 per cell]